PBE Zr2CdGaH, relaxed; magnetization = 0.00 Bohr magnetons per cell; E_tot = -25.73 eV per cell; volume = 83.06 Å³/f.u.; energy above the lowest structure with this stoichiometry = 0.000 eV/atom
1.0
4.319 0.000 0.000
0.000 4.319 0.000
0.000 0.000 4.453
Zr Cd Ga H
2 1 1 1
Direct
0.000 0.500 0.000 Zr
0.500 0.000 0.000 Zr
0.000 0.000 0.500 Cd
0.500 0.500 0.500 Ga
0.000 0.000 0.000 H

***

PBE TiCdRe3, relaxed; magnetization = 0.00 Bohr magnetons per cell; E_tot = -37.09 eV per cell; formation energy from the elements = 1813 meV per atom; volume = 97.10 Å³/f.u.; energy above the lowest structure with this stoichiometry = 0.000 eV/atom
1.0
4.596 0.000 0.000
0.000 4.596 0.000
0.000 0.000 4.596
Ti Cd Re
1 1 3
Direct
0.000 0.000 0.000 Ti
0.500 0.500 0.500 Cd
0.000 0.000 0.500 Re
0.000 0.500 0.000 Re
0.500 0.000 0.000 Re